A plane-wave DFT calculation with PBE+U was carried out for crystalline KLaNbWO6 at its relaxed geometry.

Unit cell a=5.803 b=5.803 c=5.803 alpha=60.00 beta=60.00 gamma=60.00
Site moments in Bohr magnetons follow the coordinates.
Atoms (fractional coordinates):
K  0.250  0.250  0.250  0.00
La  0.750  0.750  0.750  0.09
Nb  0.000  0.000  0.000  0.19
W  0.500  0.500  0.500  2.41
O  0.244  0.756  0.244  0.01
O  0.756  0.244  0.756  0.01
O  0.244  0.756  0.756  0.01
O  0.756  0.244  0.244  0.01
O  0.244  0.244  0.756  0.01
O  0.756  0.756  0.244  0.01

Values from the calculation:
ρ in g/cm3: 6.62
Calculated total energy in eV per cell: -77.5
SG: F-43m (216)